(1)
Material: Mn3Au2
Method: DFT, PBE
State: optimized geometry

abc: 4.888 4.888 6.896
angles: 57.93 57.93 36.19
Last column: magnetic moment on the atom in μB.
Positions (direct):
1 Au 0.701 0.701 0.210  0.06
2 Mn 0.900 0.900 0.403  3.63
3 Mn 0.500 0.500 0.000  3.65
4 Au 0.299 0.299 0.790  0.06
5 Mn 0.100 0.100 0.597  3.63

## Properties
VASP energy: -6.64 eV per atom
calculated density: 11.50 Mg/m³
calculated volume: 16.1 Å³ per atom
formation energy: 0.18 eV/atom
crystal system: monoclinic
DOS(E_F): 0.87 states/eV per atom

=====

(2)
Material: Mn3Au7
Method: DFT, PBE
State: optimized geometry

abc: 4.267 5.770 8.164
angles: 115.80 105.15 90.00
Last column: magnetic moment on the atom in μB.
Positions (direct):
1 Au 0.800 0.733 0.601  0.05
2 Mn 0.199 0.773 0.398  3.98
3 Mn 0.801 0.227 0.602  3.98
4 Au 0.000 0.500 0.000  0.05
5 Au 0.394 0.112 0.787  0.04
6 Mn 0.000 0.000 0.000  4.08
7 Au 0.401 0.620 0.802  0.04
8 Au 0.606 0.888 0.213  0.04
9 Au 0.200 0.267 0.399  0.05
10 Au 0.599 0.380 0.198  0.04

## Properties
VASP energy: -5.07 eV per atom
calculated density: 14.80 Mg/m³
calculated volume: 17.3 Å³ per atom
formation energy: -0.03 eV/atom
crystal system: monoclinic
DOS(E_F): 0.42 states/eV per atom

=====

(3)
Material: Mn5Au
Method: DFT, PBE
State: optimized geometry

abc: 5.908 5.908 3.730
angles: 90.00 90.00 143.20
Last column: magnetic moment on the atom in μB.
Positions (direct):
1 Mn 0.827 0.173 0.500  2.19
2 Mn 0.173 0.827 0.500  2.19
3 Mn 0.500 0.500 0.500  2.64
4 Au 0.000 0.000 0.000  0.00
5 Mn 0.329 0.671 0.000  -2.55
6 Mn 0.671 0.329 0.000  -2.55

## Properties
VASP energy: -8.06 eV per atom
calculated density: 10.04 Mg/m³
calculated volume: 13.0 Å³ per atom
formation energy: 0.12 eV/atom
crystal system: orthorhombic
DOS(E_F): 1.21 states/eV per atom

=====

(4)
Material: MnAu
Method: DFT, PBE
State: optimized geometry

abc: 9.090 9.090 3.335
angles: 90.00 90.00 90.00
Positions (direct):
1 Au 0.500 0.193 0.000
2 Au 0.307 0.000 0.500
3 Au 0.807 0.500 0.000
4 Au 0.000 0.307 0.500
5 Mn 0.800 0.800 0.000
6 Au 0.500 0.807 0.000
7 Mn 0.300 0.300 0.500
8 Mn 0.700 0.300 0.500
9 Mn 0.200 0.800 0.000
10 Au 0.193 0.500 0.000
11 Mn 0.200 0.200 0.000
12 Mn 0.700 0.700 0.500
13 Mn 0.800 0.200 0.000
14 Mn 0.300 0.700 0.500
15 Au 0.000 0.693 0.500
16 Au 0.693 0.000 0.500

## Properties
VASP energy: -5.75 eV per atom
calculated density: 12.14 Mg/m³
calculated volume: 17.2 Å³ per atom
formation energy: 0.48 eV/atom
crystal system: tetragonal
DOS(E_F): 0.58 states/eV per atom

=====

(5)
Material: MnAu3
Method: DFT, PBE
State: optimized geometry

abc: 8.875 8.875 8.875
angles: 19.91 19.91 19.91
Last column: magnetic moment on the atom in μB.
Positions (direct):
1 Au 0.744 0.744 0.744  0.05
2 Mn 0.000 0.000 0.000  3.83
3 Au 0.256 0.256 0.256  0.05
4 Au 0.500 0.500 0.500  -0.02

## Properties
VASP energy: -4.71 eV per atom
calculated density: 15.13 Mg/m³
calculated volume: 17.7 Å³ per atom
formation energy: 0.04 eV/atom
crystal system: trigonal
DOS(E_F): 0.33 states/eV per atom

=====

(6)
Material: MnAu5
Method: DFT, PBE
State: optimized geometry

abc: 5.464 5.464 5.464
angles: 60.00 60.00 60.00
Last column: magnetic moment on the atom in μB.
Positions (direct):
1 Au 0.875 0.375 0.375  0.02
2 Au 0.375 0.375 0.875  0.02
3 Au 0.375 0.875 0.375  0.02
4 Au 0.375 0.375 0.375  0.02
5 Mn 0.000 0.000 0.000  4.27
6 Au 0.750 0.750 0.750  0.01

## Properties
VASP energy: -4.09 eV per atom
calculated density: 14.97 Mg/m³
calculated volume: 19.2 Å³ per atom
formation energy: 0.17 eV/atom
crystal system: cubic
DOS(E_F): 0.45 states/eV per atom

=====

(7)
Material: MnAu
Method: DFT, PBE
State: optimized geometry

abc: 4.176 4.176 4.176
angles: 60.00 60.00 60.00
Last column: magnetic moment on the atom in μB.
Positions (direct):
1 Au 0.000 0.000 0.000  0.12
2 Mn 0.250 0.250 0.250  4.02

## Properties
VASP energy: -5.49 eV per atom
calculated density: 8.12 Mg/m³
calculated volume: 25.7 Å³ per atom
formation energy: 0.73 eV/atom
crystal system: cubic
DOS(E_F): 0.50 states/eV per atom

=====

(8)
Material: MnAu6
Method: DFT, PBE
State: optimized geometry

abc: 4.054 4.054 8.131
angles: 90.00 90.00 90.00
Last column: magnetic moment on the atom in μB.
Positions (direct):
1 Au 0.000 0.000 0.500  -0.02
2 Au 0.500 0.000 0.254  0.03
3 Mn 0.000 0.000 0.000  4.03
4 Au 0.500 0.000 0.746  0.03
5 Au 0.500 0.500 0.000  0.06
6 Au 0.000 0.500 0.254  0.03
7 Au 0.000 0.500 0.746  0.03

## Properties
VASP energy: -4.10 eV per atom
calculated density: 15.37 Mg/m³
calculated volume: 19.1 Å³ per atom
formation energy: 0.02 eV/atom
crystal system: tetragonal
DOS(E_F): 0.35 states/eV per atom

=====

(9)
Material: Mn5Au3
Method: DFT, PBE
State: optimized geometry

abc: 7.795 7.795 5.084
angles: 90.00 90.00 59.99
Last column: magnetic moment on the atom in μB.
Positions (direct):
1 Mn 0.667 0.667 0.000  3.52
2 Mn 0.771 0.229 0.250  3.86
3 Mn 0.000 0.229 0.750  3.86
4 Mn 0.771 0.000 0.750  3.86
5 Mn 0.667 0.667 0.500  3.52
6 Au 0.603 0.000 0.250  0.09
7 Mn 0.000 0.771 0.250  3.86
8 Au 0.603 0.397 0.750  0.09
9 Mn 0.229 0.000 0.250  3.86
10 Au 0.397 0.603 0.250  0.09
11 Mn 0.333 0.333 0.500  3.52
12 Au 0.397 0.000 0.750  0.09
13 Mn 0.333 0.333 0.000  3.52
14 Mn 0.229 0.771 0.750  3.86
15 Au 0.000 0.603 0.750  0.09
16 Au 0.000 0.397 0.250  0.09

## Properties
VASP energy: -6.76 eV per atom
calculated density: 10.75 Mg/m³
calculated volume: 16.7 Å³ per atom
formation energy: 0.20 eV/atom
crystal system: hexagonal
DOS(E_F): 0.90 states/eV per atom

=====

(10)
Material: MnAu
Method: DFT, PBE
State: optimized geometry

abc: 5.270 5.270 5.370
angles: 90.00 90.00 90.00
Last column: magnetic moment on the atom in μB.
Positions (direct):
1 Mn 0.196 0.196 0.500  3.98
2 Mn 0.696 0.304 0.000  3.98
3 Au 0.198 0.198 0.000  0.10
4 Mn 0.304 0.696 0.000  3.98
5 Au 0.802 0.802 0.000  0.10
6 Au 0.698 0.302 0.500  0.10
7 Mn 0.804 0.804 0.500  3.98
8 Au 0.302 0.698 0.500  0.10

## Properties
VASP energy: -6.00 eV per atom
calculated density: 11.22 Mg/m³
calculated volume: 18.6 Å³ per atom
formation energy: 0.22 eV/atom
crystal system: tetragonal
DOS(E_F): 0.51 states/eV per atom

=====

(11)
Material: MnAu
Method: DFT, PBE
State: optimized geometry

abc: 10.885 10.885 2.769
angles: 90.00 90.00 120.00
Last column: magnetic moment on the atom in μB.
Positions (direct):
1 Au 0.520 0.780 0.750  0.03
2 Au 0.259 0.480 0.750  0.03
3 Au 0.741 0.520 0.250  0.03
4 Mn 0.573 0.008 0.250  0.60
5 Au 0.780 0.259 0.250  0.03
6 Mn 0.008 0.435 0.750  0.60
7 Au 0.480 0.220 0.250  0.03
8 Mn 0.992 0.565 0.250  0.60
9 Au 0.220 0.741 0.750  0.03
10 Mn 0.435 0.427 0.250  0.60
11 Mn 0.565 0.573 0.750  0.60
12 Mn 0.427 0.992 0.750  0.60

## Properties
VASP energy: -5.52 eV per atom
calculated density: 8.83 Mg/m³
calculated volume: 23.7 Å³ per atom
formation energy: 0.70 eV/atom
crystal system: hexagonal
DOS(E_F): 1.05 states/eV per atom

=====

(12)
Material: Mn3Au
Method: DFT, PBE
State: optimized geometry

abc: 5.197 5.197 5.197
angles: 116.93 116.93 116.93
Last column: magnetic moment on the atom in μB.
Positions (direct):
1 Mn 0.500 0.500 0.000  3.58
2 Au 0.000 0.000 0.000  0.08
3 Mn 0.000 0.500 0.500  3.58
4 Mn 0.500 0.000 0.500  3.58

## Properties
VASP energy: -7.33 eV per atom
calculated density: 9.60 Mg/m³
calculated volume: 15.6 Å³ per atom
formation energy: 0.37 eV/atom
crystal system: trigonal
DOS(E_F): 1.02 states/eV per atom

=====

What did the second record say?
Material: Mn3Au7
Method: DFT, PBE
State: optimized geometry

abc: 4.267 5.770 8.164
angles: 115.80 105.15 90.00
Last column: magnetic moment on the atom in μB.
Positions (direct):
1 Au 0.800 0.733 0.601  0.05
2 Mn 0.199 0.773 0.398  3.98
3 Mn 0.801 0.227 0.602  3.98
4 Au 0.000 0.500 0.000  0.05
5 Au 0.394 0.112 0.787  0.04
6 Mn 0.000 0.000 0.000  4.08
7 Au 0.401 0.620 0.802  0.04
8 Au 0.606 0.888 0.213  0.04
9 Au 0.200 0.267 0.399  0.05
10 Au 0.599 0.380 0.198  0.04

## Properties
VASP energy: -5.07 eV per atom
calculated density: 14.80 Mg/m³
calculated volume: 17.3 Å³ per atom
formation energy: -0.03 eV/atom
crystal system: monoclinic
DOS(E_F): 0.42 states/eV per atom

=====

- What is the VASP energy in the seventh record?
  -5.49 eV per atom

=====

- Number 12 is which compound?
  Mn3Au